Ce2Si4OsPt3: relaxed, GGA-PBE. Values from VASP.

Summary:
Energy relative to the elements, uncorrected, eV per atom: -1.0277
Electronic total energy, eV/atom: -7.32

The structure in Quantum ESPRESSO input format:
```
&SYSTEM
  ibrav = 0, nat = 10, ntyp = 4
/
ATOMIC_SPECIES
Si 28.09 Si.upf
Ce 140.12 Ce.upf
Pt 195.08 Pt.upf
Os 190.23 Os.upf
ATOMIC_POSITIONS crystal
Si 0.500 0.500 0.000
Si 0.500 0.000 0.631
Si 0.000 0.000 0.000
Si 0.000 0.500 0.369
Ce 0.500 0.000 0.250
Ce 0.000 0.500 0.750
Pt 0.000 0.000 0.500
Pt 0.500 0.000 0.876
Pt 0.000 0.500 0.124
Os 0.500 0.500 0.500
CELL_PARAMETERS angstrom
-1.496 3.754 -1.102
-3.705 -0.981 1.690
2.990 3.758 8.739
```

=====

TbCeOsPt: relaxed, GGA-PBE. Values from VASP.

Summary:
ΔH_f (0 K), meV/atom: -566
Electronic total energy, eV/atom: -7.52

The structure in Quantum ESPRESSO input format:
```
&SYSTEM
  ibrav = 0, nat = 4, ntyp = 4
/
ATOMIC_SPECIES
Os 190.23 Os.upf
Tb 158.93 Tb.upf
Pt 195.08 Pt.upf
Ce 140.12 Ce.upf
ATOMIC_POSITIONS crystal
Os 0.000 0.000 0.000
Tb 0.750 0.750 0.750
Pt 0.500 0.500 0.500
Ce 0.250 0.250 0.250
CELL_PARAMETERS angstrom
4.937 0.000 0.000
2.469 4.276 0.000
2.469 1.425 4.031
```

=====

CeThOsPt: relaxed, GGA-PBE. Values from VASP.

Summary:
ΔH_f (0 K), meV/atom: -606
Energy above the lowest structure with this stoichiometry, kcal/mol of atoms: 0.00
Electronic total energy, eV/atom: -8.26

The structure in Quantum ESPRESSO input format:
```
&SYSTEM
  ibrav = 0, nat = 4, ntyp = 4
/
ATOMIC_SPECIES
Ce 140.12 Ce.upf
Th 232.04 Th.upf
Os 190.23 Os.upf
Pt 195.08 Pt.upf
ATOMIC_POSITIONS crystal
Ce 0.500 0.391 0.593
Th 0.000 0.892 0.092
Os 0.500 0.392 0.092
Pt 0.000 0.891 0.592
CELL_PARAMETERS angstrom
4.126 0.000 0.000
0.000 4.120 0.247
0.000 -0.347 5.751
```

=====

CeThOsPt: relaxed, GGA-PBE. Values from VASP.

Summary:
ΔH_f (0 K), meV/atom: -542
Energy above the lowest structure with this stoichiometry, kcal/mol of atoms: 1.47
Electronic total energy, eV/atom: -8.20

The structure in Quantum ESPRESSO input format:
```
&SYSTEM
  ibrav = 0, nat = 4, ntyp = 4
/
ATOMIC_SPECIES
Th 232.04 Th.upf
Os 190.23 Os.upf
Pt 195.08 Pt.upf
Ce 140.12 Ce.upf
ATOMIC_POSITIONS crystal
Th 0.500 0.500 0.500
Os 0.250 0.250 0.250
Pt 0.750 0.750 0.750
Ce 0.000 0.000 0.000
CELL_PARAMETERS angstrom
5.027 0.000 0.000
2.514 4.354 0.000
2.514 1.451 4.105
```

=====

CeYOsPt: relaxed, GGA-PBE. Values from VASP.

Summary:
ΔH_f (0 K), meV/atom: -565
Electronic total energy, eV/atom: -7.98

The structure in Quantum ESPRESSO input format:
```
&SYSTEM
  ibrav = 0, nat = 4, ntyp = 4
/
ATOMIC_SPECIES
Pt 195.08 Pt.upf
Y 88.91 Y.upf
Ce 140.12 Ce.upf
Os 190.23 Os.upf
ATOMIC_POSITIONS crystal
Pt 0.750 0.750 0.750
Y 0.500 0.500 0.500
Ce 0.000 0.000 0.000
Os 0.250 0.250 0.250
CELL_PARAMETERS angstrom
-3.738 1.926 2.582
-4.439 -2.152 -0.105
-1.702 -2.341 3.997
```

=====

Ce7PuOs4: relaxed, GGA-PBE. Values from VASP.

Summary:
ΔH_f (0 K), meV/atom: -4
Electronic total energy, eV/atom: -8.40

The structure in Quantum ESPRESSO input format:
```
&SYSTEM
  ibrav = 0, nat = 12, ntyp = 3
/
ATOMIC_SPECIES
Ce 140.12 Ce.upf
Pu 244.00 Pu.upf
Os 190.23 Os.upf
ATOMIC_POSITIONS crystal
Ce 0.070 0.627 0.232
Ce 0.199 0.133 0.468
Ce 0.801 0.867 0.532
Ce 0.930 0.373 0.768
Ce 0.332 0.605 0.730
Ce 0.500 0.000 0.000
Ce 0.668 0.395 0.270
Pu 0.000 0.000 0.000
Os 0.430 0.778 0.363
Os 0.307 0.327 0.060
Os 0.570 0.222 0.637
Os 0.693 0.673 0.940
CELL_PARAMETERS angstrom
5.553 0.000 0.000
2.777 7.750 0.248
2.777 0.676 6.650
```

=====

Ce12PuOs7: relaxed, GGA-PBE. Values from VASP.

Summary:
ΔH_f (0 K), meV/atom: -20
Energy above the lowest structure with this stoichiometry, kcal/mol of atoms: 1.00
Electronic total energy, eV/atom: -8.23

The structure in Quantum ESPRESSO input format:
```
&SYSTEM
  ibrav = 0, nat = 20, ntyp = 3
/
ATOMIC_SPECIES
Ce 140.12 Ce.upf
Os 190.23 Os.upf
Pu 244.00 Pu.upf
ATOMIC_POSITIONS crystal
Ce 0.315 0.776 0.925
Ce 0.463 0.157 0.377
Ce 0.377 0.463 0.157
Ce 0.776 0.925 0.315
Ce 0.843 0.623 0.537
Ce 0.075 0.685 0.224
Ce 0.157 0.377 0.463
Ce 0.623 0.537 0.843
Ce 0.224 0.075 0.685
Ce 0.685 0.224 0.075
Ce 0.925 0.315 0.776
Ce 0.537 0.843 0.623
Os 0.130 0.021 0.354
Os 0.354 0.130 0.021
Os 0.979 0.646 0.870
Os 0.646 0.870 0.979
Os 0.870 0.979 0.646
Os 0.021 0.354 0.130
Os 0.500 0.500 0.500
Pu 0.000 0.000 0.000
CELL_PARAMETERS angstrom
8.779 -0.060 -0.090
-2.499 8.416 -0.090
-2.499 -3.325 7.732
```

=====

Ce8PuOs6: relaxed, GGA-PBE. Values from VASP.

Summary:
ΔH_f (0 K), meV/atom: 68
Electronic total energy, eV/atom: -8.54

The structure in Quantum ESPRESSO input format:
```
&SYSTEM
  ibrav = 0, nat = 15, ntyp = 3
/
ATOMIC_SPECIES
Ce 140.12 Ce.upf
Os 190.23 Os.upf
Pu 244.00 Pu.upf
ATOMIC_POSITIONS crystal
Ce 0.245 0.941 0.218
Ce 0.755 0.059 0.782
Ce 0.245 0.277 0.059
Ce 0.245 0.782 0.723
Ce 0.755 0.218 0.277
Ce 0.755 0.723 0.941
Ce 0.253 0.333 0.667
Ce 0.747 0.667 0.333
Os 0.248 0.911 0.495
Os 0.248 0.505 0.416
Os 0.248 0.584 0.089
Os 0.752 0.495 0.584
Os 0.752 0.089 0.505
Os 0.752 0.416 0.911
Pu 0.500 0.000 0.000
CELL_PARAMETERS angstrom
-1.517 3.248 -2.612
-3.068 -6.235 -5.971
-5.432 2.914 6.778
```

=====

Ce8Pu2Os: relaxed, GGA-PBE. Values from VASP.

Summary:
ΔH_f (0 K), meV/atom: -5
Energy above the lowest structure with this stoichiometry, kcal/mol of atoms: 0.59
Electronic total energy, eV/atom: -7.95

The structure in Quantum ESPRESSO input format:
```
&SYSTEM
  ibrav = 0, nat = 11, ntyp = 3
/
ATOMIC_SPECIES
Pu 244.00 Pu.upf
Ce 140.12 Ce.upf
Os 190.23 Os.upf
ATOMIC_POSITIONS crystal
Pu 0.832 0.327 0.663
Pu 0.168 0.673 0.337
Ce 0.401 0.567 0.803
Ce 0.973 0.212 0.947
Ce 0.599 0.433 0.197
Ce 0.804 0.695 0.608
Ce 0.671 0.978 0.342
Ce 0.027 0.788 0.053
Ce 0.329 0.022 0.658
Ce 0.196 0.305 0.392
Os 0.500 0.000 0.000
CELL_PARAMETERS angstrom
-4.503 2.969 0.760
-2.929 -3.069 -5.360
0.874 -5.376 6.662
```

=====

CePu2Os: relaxed, GGA-PBE. Values from VASP.

Summary:
ΔH_f (0 K), meV/atom: -8
Energy above the lowest structure with this stoichiometry, kcal/mol of atoms: 0.51
Electronic total energy, eV/atom: -11.46

The structure in Quantum ESPRESSO input format:
```
&SYSTEM
  ibrav = 0, nat = 4, ntyp = 3
/
ATOMIC_SPECIES
Os 190.23 Os.upf
Ce 140.12 Ce.upf
Pu 244.00 Pu.upf
ATOMIC_POSITIONS crystal
Os 0.500 0.500 0.500
Ce 0.000 0.000 0.000
Pu 0.750 0.750 0.750
Pu 0.250 0.250 0.250
CELL_PARAMETERS angstrom
-2.687 4.082 -0.894
-2.309 0.547 -4.364
-4.953 -0.290 -0.243
```

=====

Ce2PuOs: relaxed, GGA-PBE. Values from VASP.

Summary:
ΔH_f (0 K), meV/atom: -37
Energy above the lowest structure with this stoichiometry, kcal/mol of atoms: 0.00
Electronic total energy, eV/atom: -9.39

The structure in Quantum ESPRESSO input format:
```
&SYSTEM
  ibrav = 0, nat = 8, ntyp = 3
/
ATOMIC_SPECIES
Pu 244.00 Pu.upf
Os 190.23 Os.upf
Ce 140.12 Ce.upf
ATOMIC_POSITIONS crystal
Pu 0.738 0.262 0.500
Pu 0.262 0.738 0.500
Os 0.741 0.741 0.743
Os 0.259 0.259 0.257
Ce 0.234 0.766 0.000
Ce 0.766 0.234 0.000
Ce 0.753 0.753 0.260
Ce 0.247 0.247 0.740
CELL_PARAMETERS angstrom
-4.548 1.633 3.200
0.957 -5.713 0.197
5.022 2.563 2.939
```

=====

Ce5PuOs3: relaxed, GGA-PBE. Values from VASP.

Summary:
ΔH_f (0 K), meV/atom: 4
Electronic total energy, eV/atom: -8.63

The structure in Quantum ESPRESSO input format:
```
&SYSTEM
  ibrav = 0, nat = 18, ntyp = 3
/
ATOMIC_SPECIES
Os 190.23 Os.upf
Ce 140.12 Ce.upf
Pu 244.00 Pu.upf
ATOMIC_POSITIONS crystal
Os 0.000 0.000 0.500
Os 0.333 0.333 0.160
Os 0.692 0.692 0.402
Os 0.308 0.308 0.598
Os 0.667 0.667 0.840
Os 0.000 0.000 0.000
Ce 0.991 0.381 0.359
Ce 0.693 0.307 0.000
Ce 0.307 0.693 0.000
Ce 0.381 0.991 0.359
Ce 0.009 0.619 0.641
Ce 0.762 0.762 0.060
Ce 0.238 0.238 0.940
Ce 0.531 0.531 0.656
Ce 0.619 0.009 0.641
Ce 0.469 0.469 0.344
Pu 0.930 0.930 0.282
Pu 0.070 0.070 0.718
CELL_PARAMETERS angstrom
7.603 0.140 -0.068
2.216 7.274 -0.068
2.843 2.147 9.380
```

=====

- What is the electronic total energy in the second record?
  -7.52 eV/atom